Record 1
Below is a geometry-optimized RbSiNi3 structure, with properties calculated at the PBE level.

Structure (POSCAR):
```
RbSiNi3
1.0
4.505 0.000 0.000
0.000 4.505 0.000
0.000 0.000 4.505
Rb Ni Si
1 3 1
Direct
0.500 0.500 0.500
0.000 0.000 0.500
0.000 0.500 0.000
0.500 0.000 0.000
0.000 0.000 0.000
```

Values from the calculation:
* formation energy from raw total energies: 0.47 eV per atom
* E above lowest polymorph: 0.000 eV per formula unit

Record 2
Below is a geometry-optimized SmBi2IO8 structure, with properties calculated at the PBE level.

Structure (POSCAR):
```
SmBi2IO8
1.0
5.258 -0.001 -0.003
0.038 5.259 -0.006
0.004 0.008 6.890
O I Bi Sm
8 1 2 1
Direct
0.315 0.311 0.500
0.254 0.248 0.000
0.685 0.689 0.500
0.826 0.178 0.789
0.174 0.822 0.789
0.826 0.178 0.211
0.746 0.752 0.000
0.174 0.822 0.211
0.000 0.000 0.000
0.500 0.500 0.247
0.500 0.500 0.753
0.000 0.000 0.500
```

Values from the calculation:
* formation energy from raw total energies: -1.33 eV per atom

Record 3
Below is a geometry-optimized TiAlFe3 structure, with properties calculated at the PBE level.

Structure (POSCAR):
```
TiAlFe3
1.0
4.303 0.000 0.000
0.000 4.303 0.000
0.000 0.000 4.303
Ti Al Fe
1 1 3
Direct
0.000 0.000 0.000
0.500 0.500 0.500
0.000 0.500 0.000
0.500 0.000 0.000
0.000 0.000 0.500
```

Values from the calculation:
* formation enthalpy at 0 K: 5.0 eV/f.u.
* E above lowest polymorph: 0.759 eV per formula unit

Record 4
Below is a geometry-optimized Pr2Nd5Tm12 structure, with properties calculated at the PBE level.

Structure (POSCAR):
```
Pr2Nd5Tm12
1.0
-0.360 0.154 8.588
-2.083 -8.639 -4.235
7.210 -5.229 0.396
Tm Pr Nd
12 2 5
Direct
0.129 0.712 0.464
0.945 0.889 0.180
0.871 0.288 0.536
0.676 0.731 0.862
0.465 0.930 0.683
0.535 0.070 0.317
0.055 0.731 0.862
0.583 0.712 0.464
0.945 0.269 0.138
0.324 0.269 0.138
0.417 0.288 0.536
0.055 0.111 0.820
0.325 0.000 0.000
0.675 0.000 0.000
0.291 0.583 0.195
0.748 0.496 0.209
0.000 0.000 0.500
0.709 0.417 0.805
0.252 0.504 0.791
```

Values from the calculation:
* formation enthalpy at 0 K: 4.3 eV/f.u.
* E above lowest polymorph: 2.895 eV per formula unit

Record 5
Below is a geometry-optimized HfCoP3 structure, with properties calculated at the PBE level.

Structure (POSCAR):
```
HfCoP3
1.0
4.902 0.000 0.000
0.000 4.902 0.000
0.000 0.000 4.902
Hf P Co
1 3 1
Direct
0.000 0.000 0.000
0.500 0.000 0.000
0.000 0.500 0.000
0.000 0.000 0.500
0.500 0.500 0.500
```

Values from the calculation:
* formation enthalpy at 0 K: 5.1 eV/f.u.
* E above lowest polymorph: 3.886 eV per formula unit

Record 6
Below is a geometry-optimized Th4ZnOs structure, with properties calculated at the PBE level.

Structure (POSCAR):
```
Th4ZnOs
1.0
-0.608 3.950 -4.498
3.326 -4.667 -4.548
-6.475 -2.946 -1.712
Os Th Zn
2 8 2
Direct
0.250 0.500 0.500
0.750 0.500 0.500
0.000 0.650 0.825
0.000 0.350 0.175
0.500 0.350 0.825
0.000 0.175 0.650
0.500 0.175 0.350
0.000 0.825 0.350
0.500 0.650 0.175
0.500 0.825 0.650
0.250 0.000 0.000
0.750 0.000 0.000
```

Values from the calculation:
* formation enthalpy at 0 K: -1.3 eV/f.u.
* E above lowest polymorph: 0.000 eV per formula unit

Record 7
Below is a geometry-optimized NdGaRh2 structure, with properties calculated at the PBE level.

Structure (POSCAR):
```
NdGaRh2
1.0
-0.120 3.277 -1.585
-4.108 -0.843 -1.434
-1.657 1.740 3.724
Nd Rh Ga
1 2 1
Direct
0.500 0.500 0.500
0.000 0.500 0.000
0.000 0.000 0.500
0.500 0.000 0.000
```

Values from the calculation:
* formation enthalpy at 0 K: -2.5 eV/f.u.

Record 8
Below is a geometry-optimized Li2AlZn6 structure, with properties calculated at the PBE level.

Structure (POSCAR):
```
Li2AlZn6
1.0
6.166 0.568 0.329
0.563 5.414 0.201
0.563 2.872 4.594
Zn Al Li
6 1 2
Direct
0.299 0.835 0.347
0.397 0.809 0.809
0.701 0.653 0.165
0.701 0.165 0.653
0.603 0.191 0.191
0.299 0.347 0.835
0.000 0.000 0.000
0.140 0.357 0.357
0.860 0.643 0.643
```

Values from the calculation:
* formation enthalpy at 0 K: -0.6 eV/f.u.
* E above lowest polymorph: 0.022 eV per formula unit

no.,calculated volume (Å³ per cell)
1,91.40
2,190.52
3,79.68
4,633.05
5,117.83
6,322.06
7,71.53
8,147.92